No. 1
{
  "formula": "NdTm2In4",
  "functional": "PBE",
  "state": "optimized geometry",
  "lattice": [[4.6686, 0.0000, 0.0000], [0.0000, 4.6686, 0.0000], [0.0000, 0.0000, 18.6040]],
  "species": ["Nd", "Nd", "Tm", "Tm", "Tm", "Tm", "In", "In", "In", "In", "In", "In", "In", "In"],
  "frac_coords": [[0.0000, 0.0000, 0.0000], [0.5000, 0.5000, 0.5000], [0.0000, 0.0000, 0.2483], [0.0000, 0.0000, 0.7517], [0.5000, 0.5000, 0.2517], [0.5000, 0.5000, 0.7483], [0.0000, 0.5000, 0.1258], [0.0000, 0.5000, 0.3742], [0.0000, 0.5000, 0.6258], [0.0000, 0.5000, 0.8742], [0.5000, 0.0000, 0.1258], [0.5000, 0.0000, 0.3742], [0.5000, 0.0000, 0.6258], [0.5000, 0.0000, 0.8742]],
  "crystal_system": "tetragonal",
  "formation_energy_mev_per_atom": -274,
  "space_group": "I4/mmm (139)",
  "de_polymorph_mev_per_atom": 0
}


No. 2
{
  "formula": "BeAgRu2W",
  "functional": "PBE",
  "state": "optimized geometry",
  "lattice": [[4.1898, 0.0000, 0.0000], [0.0000, 4.1898, 0.0000], [0.0000, 0.0000, 4.0790]],
  "species": ["Be", "Ag", "Ru", "Ru", "W"],
  "frac_coords": [[0.0000, 0.0000, 0.0000], [0.0000, 0.0000, 0.5000], [0.0000, 0.5000, 0.0000], [0.5000, 0.0000, 0.0000], [0.5000, 0.5000, 0.5000]],
  "crystal_system": "tetragonal",
  "formation_energy_mev_per_atom": 754,
  "space_group": "P4/mmm (123)"
}


No. 3
{
  "formula": "Sm3Sn2Au",
  "functional": "PBE",
  "state": "optimized geometry",
  "lattice": [[12.4391, 0.0000, 0.0000], [0.0000, 4.6176, 0.0000], [0.0000, 0.0000, 11.9266]],
  "species": ["Sm", "Sm", "Sm", "Sm", "Sm", "Sm", "Sm", "Sm", "Sm", "Sm", "Sm", "Sm", "Sn", "Sn", "Sn", "Sn", "Sn", "Sn", "Sn", "Sn", "Au", "Au", "Au", "Au"],
  "frac_coords": [[0.0496, 0.2500, 0.1254], [0.1272, 0.7500, 0.5618], [0.2209, 0.2500, 0.8059], [0.2791, 0.7500, 0.3059], [0.3728, 0.2500, 0.0618], [0.4504, 0.7500, 0.6254], [0.5496, 0.2500, 0.3746], [0.6272, 0.7500, 0.9382], [0.7209, 0.2500, 0.6941], [0.7791, 0.7500, 0.1941], [0.8728, 0.2500, 0.4382], [0.9504, 0.7500, 0.8746], [0.0056, 0.7500, 0.3103], [0.1862, 0.7500, 0.0123], [0.3138, 0.2500, 0.5123], [0.4944, 0.2500, 0.8103], [0.5056, 0.7500, 0.1897], [0.6862, 0.7500, 0.4877], [0.8138, 0.2500, 0.9877], [0.9944, 0.2500, 0.6897], [0.1308, 0.2500, 0.3671], [0.3692, 0.7500, 0.8671], [0.6308, 0.2500, 0.1329], [0.8692, 0.7500, 0.6329]],
  "crystal_system": "orthorhombic",
  "formation_energy_mev_per_atom": -746,
  "space_group": "Pnma (62)"
}


No. 4
{
  "formula": "LaMo2Br",
  "functional": "PBE",
  "state": "optimized geometry",
  "lattice": [[6.7758, 0.0000, 0.0000], [0.0000, 6.7758, 0.0000], [0.0000, 0.0000, 6.7758]],
  "species": ["La", "La", "La", "La", "Mo", "Mo", "Mo", "Mo", "Mo", "Mo", "Mo", "Mo", "Br", "Br", "Br", "Br"],
  "frac_coords": [[0.0000, 0.0000, 0.0000], [0.0000, 0.5000, 0.5000], [0.5000, 0.0000, 0.5000], [0.5000, 0.5000, 0.0000], [0.2500, 0.2500, 0.2500], [0.2500, 0.2500, 0.7500], [0.2500, 0.7500, 0.2500], [0.2500, 0.7500, 0.7500], [0.7500, 0.2500, 0.2500], [0.7500, 0.2500, 0.7500], [0.7500, 0.7500, 0.2500], [0.7500, 0.7500, 0.7500], [0.0000, 0.0000, 0.5000], [0.0000, 0.5000, 0.0000], [0.5000, 0.0000, 0.0000], [0.5000, 0.5000, 0.5000]],
  "crystal_system": "cubic",
  "e_form_raw_mev_per_atom": 1078,
  "space_group": "Fm-3m (225)",
  "de_polymorph_mev_per_atom": 1108
}